BaNp2Pb2O7: optimized geometry, PBE.

The space group is Immm (No. 71) and the conventional cell measures 4.262, 4.295 and 25.630 Å, with angles of 90.00, 90.00 and 90.00 degrees. Symmetry generates all atoms from Ba at (0.000, 0.000, 0.000), Np at (0.000, 0.000, 0.413), Pb at (0.000, 0.500, 0.217), O at (0.000, 0.000, 0.333), O at (0.000, 0.000, 0.500), O at (0.000, 0.500, 0.078) and O at (0.000, 0.500, 0.424).

The value obtained for the uncorrected formation energy is -2.32 eV per atom. As for the total moment: 7.953 μB per cell.